Computed, not measured: an optimized crystal structure of Pu3TeO3 at the PBE level of DFT.

a b c (Å): 8.434 8.434 8.434
angles (deg): 47.55 47.55 47.55
Element x y z (fractional)
Pu 0.053 0.399 0.739
Pu 0.261 0.947 0.601
Pu 0.399 0.739 0.053
Pu 0.601 0.261 0.947
Pu 0.739 0.053 0.399
Pu 0.947 0.601 0.261
Te 0.167 0.167 0.167
Te 0.833 0.833 0.833
O 0.050 0.700 0.370
O 0.300 0.630 0.950
O 0.370 0.050 0.700
O 0.630 0.950 0.300
O 0.700 0.370 0.050
O 0.950 0.300 0.630

Values from the calculation:
E ... -11.184 eV/atom
Calculated density ... 10.1 Mg/m³
Energy above the most stable polymorph in this dataset ... 0.00 eV/f.u.
Energy relative to the elements, uncorrected ... -2468 meV/atom



Computed, not measured: an optimized crystal structure of Li2B3C at the PBE level of DFT.

a b c (Å): 2.847 2.847 7.151
angles (deg): 90.00 90.00 120.00
Element x y z (fractional)
Li 0.000 0.000 0.245
Li 0.000 0.000 0.755
B 0.333 0.667 0.000
B 0.333 0.667 0.500
B 0.667 0.333 0.000
C 0.667 0.333 0.500

Values from the calculation:
E ... -5.646 eV/atom
Calculated density ... 1.9 Mg/m³



Computed, not measured: an optimized crystal structure of Sc3CdC at the PBE level of DFT.

a b c (Å): 8.093 8.093 7.916
angles (deg): 98.27 98.27 23.40
Element x y z (fractional)
Sc 0.052 0.052 0.219
Sc 0.266 0.266 0.677
Sc 0.406 0.406 0.443
Sc 0.594 0.594 0.557
Sc 0.734 0.734 0.323
Sc 0.948 0.948 0.781
Cd 0.356 0.356 0.060
Cd 0.644 0.644 0.940
C 0.161 0.161 0.432
C 0.839 0.839 0.568

Values from the calculation:
E ... -6.118 eV/atom
Calculated density ... 4.2 Mg/m³
Energy above the most stable polymorph in this dataset ... 0.86 eV/f.u.



Computed, not measured: an optimized crystal structure of Dy2HfSe5 at the PBE level of DFT.

a b c (Å): 7.326 7.326 13.286
angles (deg): 90.00 90.00 136.10
Element x y z (fractional)
Dy 0.148 0.852 0.560
Dy 0.148 0.852 0.940
Dy 0.852 0.148 0.060
Dy 0.852 0.148 0.440
Hf 0.192 0.808 0.250
Hf 0.808 0.192 0.750
Se 0.048 0.952 0.123
Se 0.048 0.952 0.377
Se 0.266 0.734 0.750
Se 0.313 0.687 0.085
Se 0.313 0.687 0.415
Se 0.687 0.313 0.585
Se 0.687 0.313 0.915
Se 0.734 0.266 0.250
Se 0.952 0.048 0.623
Se 0.952 0.048 0.877

Values from the calculation:
E ... -6.157 eV/atom
Calculated density ... 6.0 Mg/m³
Energy relative to the elements, uncorrected ... -1585 meV/atom



Computed, not measured: an optimized crystal structure of NbNi2Ge at the PBE level of DFT.

a b c (Å): 2.786 4.045 4.998
angles (deg): 90.00 90.20 90.00
Element x y z (fractional)
Nb 0.000 0.000 0.000
Ni 0.497 0.500 0.759
Ni 0.503 0.500 0.241
Ge 0.500 0.000 0.500

Values from the calculation:
E ... -6.794 eV/atom
Calculated density ... 8.3 Mg/m³



Computed, not measured: an optimized crystal structure of AcCeNd14 at the PBE level of DFT.

a b c (Å): 7.390 7.390 10.445
angles (deg): 90.00 90.00 90.00
Element x y z (fractional)
Ac 0.000 0.000 0.000
Ce 0.500 0.500 0.000
Nd 0.000 0.000 0.500
Nd 0.000 0.500 0.000
Nd 0.000 0.500 0.500
Nd 0.254 0.254 0.251
Nd 0.254 0.254 0.749
Nd 0.254 0.746 0.251
Nd 0.254 0.746 0.749
Nd 0.500 0.000 0.000
Nd 0.500 0.000 0.500
Nd 0.500 0.500 0.500
Nd 0.746 0.254 0.251
Nd 0.746 0.254 0.749
Nd 0.746 0.746 0.251
Nd 0.746 0.746 0.749

Values from the calculation:
E ... -4.764 eV/atom
Calculated density ... 6.9 Mg/m³



Computed, not measured: an optimized crystal structure of Er3Sc4Ni4 at the PBE level of DFT.

a b c (Å): 8.787 8.787 8.787
angles (deg): 156.56 123.29 62.20
Element x y z (fractional)
Er 0.000 0.000 0.000
Er 0.394 0.894 0.500
Er 0.606 0.106 0.500
Sc 0.016 0.333 0.684
Sc 0.351 0.667 0.684
Sc 0.649 0.333 0.316
Sc 0.984 0.667 0.316
Ni 0.244 0.244 0.000
Ni 0.299 0.500 0.799
Ni 0.701 0.500 0.201
Ni 0.756 0.756 0.000

Values from the calculation:
E ... -5.947 eV/atom
Calculated density ... 6.8 Mg/m³



Computed, not measured: an optimized crystal structure of ZrTe2W2Se4 at the PBE level of DFT.

a b c (Å): 3.382 3.382 23.151
angles (deg): 90.00 90.00 120.00
Element x y z (fractional)
Zr 0.000 0.000 0.000
Te 0.667 0.333 0.096
Te 0.667 0.333 0.904
W 0.000 0.000 0.641
W 0.667 0.333 0.334
Se 0.000 0.000 0.262
Se 0.000 0.000 0.406
Se 0.667 0.333 0.569
Se 0.667 0.333 0.712

Values from the calculation:
E ... -6.613 eV/atom
Calculated density ... 7.5 Mg/m³
Energy relative to the elements, uncorrected ... -537 meV/atom



Computed, not measured: an optimized crystal structure of La2Sm6Hg at the PBE level of DFT.

a b c (Å): 9.668 9.668 9.668
angles (deg): 158.12 114.25 70.20
Element x y z (fractional)
La 0.140 0.140 0.000
La 0.860 0.860 0.000
Sm 0.162 0.819 0.342
Sm 0.234 0.500 0.734
Sm 0.477 0.819 0.658
Sm 0.523 0.181 0.342
Sm 0.766 0.500 0.266
Sm 0.838 0.181 0.658
Hg 0.500 0.000 0.500

Values from the calculation:
E ... -4.281 eV/atom
Calculated density ... 7.5 Mg/m³



Computed, not measured: an optimized crystal structure of HoPuSc2Sb4 at the PBE level of DFT.

a b c (Å): 7.393 4.288 7.422
angles (deg): 90.00 109.48 90.00
Element x y z (fractional)
Ho 0.000 0.000 0.000
Pu 0.000 0.500 0.500
Sc 0.500 0.000 0.500
Sc 0.500 0.500 0.000
Sb 0.265 0.500 0.254
Sb 0.266 0.000 0.757
Sb 0.734 0.000 0.243
Sb 0.735 0.500 0.746

Values from the calculation:
E ... -6.893 eV/atom
Calculated density ... 7.4 Mg/m³
Energy relative to the elements, uncorrected ... -885 meV/atom